(1)
A geometry-optimized ZrMnTl2 structure, computed with GGA-PBE. Values from VASP.

Summary:
Energy of formation from the pure elements (eV/atom): 0.263
Energy above the lowest structure with this stoichiometry (meV per atom): 83.0
SG: Imm2 (44)
Theoretical density (g/cm³): 10.36

```
&SYSTEM
  ibrav = 0, nat = 8, ntyp = 3
/
ATOMIC_SPECIES
Zr 91.22 Zr.upf
Mn 54.94 Mn.upf
Tl 204.38 Tl.upf
CELL_PARAMETERS angstrom
3.379 0.000 0.000
0.000 5.017 0.000
0.000 0.000 10.491
ATOMIC_POSITIONS crystal
Zr 0.000 0.000 0.000
Zr 0.500 0.500 0.500
Mn 0.000 0.500 0.723
Mn 0.500 0.000 0.223
Tl 0.000 0.000 0.462
Tl 0.000 0.500 0.231
Tl 0.500 0.000 0.731
Tl 0.500 0.500 0.962
```

=====

(2)
A geometry-optimized ZrMnTl structure, computed with GGA-PBE. Values from VASP.

Summary:
Energy of formation from the pure elements (eV/atom): 0.806
SG: F-43m (216)
Theoretical density (g/cm³): 7.72

```
&SYSTEM
  ibrav = 0, nat = 12, ntyp = 3
/
ATOMIC_SPECIES
Zr 91.22 Zr.upf
Mn 54.94 Mn.upf
Tl 204.38 Tl.upf
CELL_PARAMETERS angstrom
6.707 0.000 0.000
0.000 6.707 0.000
0.000 0.000 6.707
ATOMIC_POSITIONS crystal
Zr 0.000 0.000 0.000
Zr 0.000 0.500 0.500
Zr 0.500 0.000 0.500
Zr 0.500 0.500 0.000
Mn 0.250 0.250 0.250
Mn 0.250 0.750 0.750
Mn 0.750 0.250 0.750
Mn 0.750 0.750 0.250
Tl 0.250 0.250 0.750
Tl 0.250 0.750 0.250
Tl 0.750 0.250 0.250
Tl 0.750 0.750 0.750
```

=====

(3)
A geometry-optimized ZrMn2Tl structure, computed with GGA-PBE. Values from VASP.

Summary:
Energy of formation from the pure elements (eV/atom): 0.220
Energy above the lowest structure with this stoichiometry (meV per atom): 20.4
SG: Imm2 (44)
Theoretical density (g/cm³): 9.25

```
&SYSTEM
  ibrav = 0, nat = 8, ntyp = 3
/
ATOMIC_SPECIES
Zr 91.22 Zr.upf
Mn 54.94 Mn.upf
Tl 204.38 Tl.upf
CELL_PARAMETERS angstrom
4.060 0.000 0.000
0.000 4.067 0.000
0.000 0.000 8.821
ATOMIC_POSITIONS crystal
Zr 0.000 0.000 0.000
Zr 0.500 0.500 0.500
Mn 0.000 0.000 0.500
Mn 0.000 0.500 0.750
Mn 0.500 0.000 0.250
Mn 0.500 0.500 0.000
Tl 0.000 0.500 0.250
Tl 0.500 0.000 0.750
```

=====

(4)
A geometry-optimized ZrMn2Tl structure, computed with GGA-PBE. Values from VASP.

Summary:
Energy of formation from the pure elements (eV/atom): 0.212
Energy above the lowest structure with this stoichiometry (meV per atom): 13.3
SG: P4/mmm (123)
Theoretical density (g/cm³): 9.19

```
&SYSTEM
  ibrav = 0, nat = 4, ntyp = 3
/
ATOMIC_SPECIES
Zr 91.22 Zr.upf
Mn 54.94 Mn.upf
Tl 204.38 Tl.upf
CELL_PARAMETERS angstrom
3.392 0.000 0.000
0.000 3.392 0.000
0.000 0.000 6.367
ATOMIC_POSITIONS crystal
Zr 0.000 0.000 0.000
Mn 0.500 0.500 0.232
Mn 0.500 0.500 0.768
Tl 0.000 0.000 0.500
```

=====

- Which of these has the lowest energy of formation from the pure elements?
  number 4